1.
! GGA-PBE LiCoCl6, relaxed; values from VASP
&SYSTEM
  ibrav = 0, nat = 8, ntyp = 3
/
ATOMIC_SPECIES
Li 6.94 Li.upf
Co 58.93 Co.upf
Cl 35.45 Cl.upf
ATOMIC_POSITIONS angstrom
Li 0.000 0.000 0.000
Co -0.821 0.000 3.306
Cl 2.155 3.998 4.741
Cl 3.223 3.998 1.871
Cl 2.882 0.000 0.778
Cl 2.496 0.000 5.834
Cl 2.155 -3.998 4.741
Cl 3.223 -3.998 1.871
CELL_PARAMETERS angstrom
3.510 -5.536 0.000
3.510 5.536 0.000
-1.642 0.000 6.612
! E above lowest polymorph in meV per atom: 0
! SG: C2/m, No. 12
! Formation energy without anion corrections in eV/atom: -0.6387

=====

2.
! GGA-PBE Ac5La4Nd, relaxed; values from VASP
&SYSTEM
  ibrav = 0, nat = 20, ntyp = 3
/
ATOMIC_SPECIES
Ac 227.00 Ac.upf
La 138.91 La.upf
Nd 144.24 Nd.upf
ATOMIC_POSITIONS angstrom
Ac 0.562 0.577 1.677
Ac 0.562 4.315 1.677
Ac 2.433 7.337 0.027
Ac 4.304 0.577 1.677
Ac 4.304 4.315 1.677
Ac 5.428 5.468 7.164
Ac 5.428 9.206 7.164
Ac 7.299 2.446 8.815
Ac 9.170 5.468 7.164
Ac 9.170 9.206 7.164
La 0.199 7.337 3.671
La 2.433 5.122 5.154
La 2.433 9.553 5.154
La 4.667 7.337 3.671
La 5.065 2.446 5.171
La 7.299 0.231 3.687
La 7.299 4.661 3.687
La 9.533 2.446 5.171
Nd 2.433 2.446 7.706
Nd 7.299 7.337 1.136
CELL_PARAMETERS angstrom
9.732 0.000 0.000
0.000 9.783 0.000
0.000 0.000 8.842
! E above lowest polymorph in meV per atom: 135
! SG: Pmmn, No. 59

=====

3.
! GGA-PBE ScRuW2, relaxed; values from VASP
&SYSTEM
  ibrav = 0, nat = 4, ntyp = 3
/
ATOMIC_SPECIES
Sc 44.96 Sc.upf
Ru 101.07 Ru.upf
W 183.84 W.upf
ATOMIC_POSITIONS angstrom
Sc 0.000 0.000 0.000
Ru 1.569 2.194 0.000
W 0.000 2.194 2.367
W 1.569 0.000 2.367
CELL_PARAMETERS angstrom
3.138 0.000 0.000
0.000 4.389 0.000
0.000 0.000 4.734
! E above lowest polymorph in meV per atom: 0
! SG: Pmmm, No. 47

=====

4.
! GGA-PBE Hf4Ti2In, relaxed; values from VASP
&SYSTEM
  ibrav = 0, nat = 14, ntyp = 3
/
ATOMIC_SPECIES
Hf 178.49 Hf.upf
Ti 47.87 Ti.upf
In 114.82 In.upf
ATOMIC_POSITIONS angstrom
Hf 0.000 0.000 0.000
Hf 0.000 0.000 6.731
Hf 2.559 1.389 8.639
Hf 2.559 1.389 11.553
Hf 2.559 1.228 3.365
Hf 2.559 -1.228 10.096
Hf 2.559 -1.389 1.908
Hf 2.559 -1.389 4.822
Ti 2.559 1.488 0.683
Ti 2.559 1.488 6.048
Ti 2.559 -1.488 7.414
Ti 2.559 -1.488 12.778
In 2.559 4.187 3.365
In 2.559 -4.187 10.096
CELL_PARAMETERS angstrom
2.559 -4.299 0.000
2.559 4.299 0.000
0.000 0.000 13.461
! E above lowest polymorph in meV per atom: 74
! SG: Cmcm, No. 63

=====

5.
! GGA-PBE BaCaAc2, relaxed; values from VASP
&SYSTEM
  ibrav = 0, nat = 4, ntyp = 3
/
ATOMIC_SPECIES
Ba 137.33 Ba.upf
Ca 40.08 Ca.upf
Ac 227.00 Ac.upf
ATOMIC_POSITIONS angstrom
Ba 0.000 0.000 0.000
Ca 3.210 3.210 0.000
Ac 0.000 3.210 2.305
Ac 3.210 0.000 2.305
CELL_PARAMETERS angstrom
6.420 0.000 0.000
0.000 6.420 0.000
0.000 0.000 4.609
! E above lowest polymorph in meV per atom: 99
! SG: P4/mmm, No. 123

=====

6.
! GGA-PBE La2Y5Ho4, relaxed; values from VASP
&SYSTEM
  ibrav = 0, nat = 11, ntyp = 3
/
ATOMIC_SPECIES
La 138.91 La.upf
Y 88.91 Y.upf
Ho 164.93 Ho.upf
ATOMIC_POSITIONS angstrom
La 3.018 0.000 1.972
La 12.452 0.000 4.659
Y -0.570 0.000 3.315
Y 6.721 1.594 0.609
Y 8.750 1.594 6.022
Y 6.721 -1.594 0.609
Y 8.750 -1.594 6.022
Ho 3.138 0.000 5.333
Ho 6.199 0.000 3.956
Ho 9.271 0.000 2.675
Ho 12.333 0.000 1.298
CELL_PARAMETERS angstrom
8.305 -3.351 0.000
8.305 3.351 0.000
-1.141 0.000 6.631
! E above lowest polymorph in meV per atom: 89
! SG: C2/m, No. 12

=====

7.
! GGA-PBE CaSi, relaxed; values from VASP
&SYSTEM
  ibrav = 0, nat = 2, ntyp = 2
/
ATOMIC_SPECIES
Ca 40.08 Ca.upf
Si 28.09 Si.upf
ATOMIC_POSITIONS angstrom
Ca 0.000 0.000 0.000
Si 0.000 2.034 2.298
CELL_PARAMETERS angstrom
3.524 0.000 0.000
-1.762 3.052 0.000
0.000 0.000 4.596
! SG: P-6m2, No. 187
! Formation energy without anion corrections in eV/atom: -0.0211

=====

8.
! GGA-PBE Pm6Al5Ga, relaxed; values from VASP
&SYSTEM
  ibrav = 0, nat = 12, ntyp = 3
/
ATOMIC_SPECIES
Pm 145.00 Pm.upf
Al 26.98 Al.upf
Ga 69.72 Ga.upf
ATOMIC_POSITIONS angstrom
Pm 0.000 0.000 1.836
Pm 0.000 0.000 5.587
Pm 2.608 2.588 1.853
Pm 2.608 2.588 5.570
Pm 2.608 -2.588 1.853
Pm 2.608 -2.588 5.570
Al 2.608 5.210 3.711
Al 2.608 5.185 0.000
Al 2.608 0.000 3.711
Al 2.608 -5.185 0.000
Al 2.608 -5.210 3.711
Ga 2.608 0.000 0.000
CELL_PARAMETERS angstrom
2.608 -7.829 0.000
2.608 7.829 0.000
0.000 0.000 7.422
! E in eV per atom: -4.59
! SG: Cmmm, No. 65

=====

9.
! GGA-PBE LaCeGaPd, relaxed; values from VASP
&SYSTEM
  ibrav = 0, nat = 4, ntyp = 4
/
ATOMIC_SPECIES
La 138.91 La.upf
Ce 140.12 Ce.upf
Ga 69.72 Ga.upf
Pd 106.42 Pd.upf
ATOMIC_POSITIONS angstrom
La 0.000 0.000 0.000
Ce 3.682 3.682 3.682
Ga 5.524 5.524 5.524
Pd 1.841 1.841 1.841
CELL_PARAMETERS angstrom
0.000 3.682 3.682
3.682 0.000 3.682
3.682 3.682 0.000
! E in eV per atom: -5.30
! SG: F-43m, No. 216

=====

10.
! GGA-PBE SbRuCl2, relaxed; values from VASP
&SYSTEM
  ibrav = 0, nat = 4, ntyp = 3
/
ATOMIC_SPECIES
Sb 121.76 Sb.upf
Ru 101.07 Ru.upf
Cl 35.45 Cl.upf
ATOMIC_POSITIONS angstrom
Sb 0.000 0.000 0.000
Ru 2.145 2.145 0.000
Cl 0.000 2.145 2.186
Cl 2.145 0.000 2.186
CELL_PARAMETERS angstrom
4.289 0.000 0.000
0.000 4.289 0.000
0.000 0.000 4.372
! E above lowest polymorph in meV per atom: 827
! SG: P4/mmm, No. 123
! Formation energy without anion corrections in eV/atom: 0.6508

=====

11.
! GGA-PBE TiCdPd4, relaxed; values from VASP
&SYSTEM
  ibrav = 0, nat = 6, ntyp = 3
/
ATOMIC_SPECIES
Ti 47.87 Ti.upf
Cd 112.41 Cd.upf
Pd 106.42 Pd.upf
ATOMIC_POSITIONS angstrom
Ti 0.000 0.000 0.000
Cd 1.795 0.000 2.319
Pd 1.795 2.920 2.319
Pd 2.406 1.428 0.000
Pd 2.406 -1.428 0.000
Pd 1.795 -2.920 2.319
CELL_PARAMETERS angstrom
2.406 -4.314 0.000
2.406 4.314 0.000
-1.222 0.000 4.638
! E in eV per atom: -5.34
! SG: C2/m, No. 12

=====

12.
! GGA-PBE TiSe2SN, relaxed; values from VASP
&SYSTEM
  ibrav = 0, nat = 5, ntyp = 4
/
ATOMIC_SPECIES
Ti 47.87 Ti.upf
Se 78.96 Se.upf
S 32.06 S.upf
N 14.01 N.upf
ATOMIC_POSITIONS angstrom
Ti 0.000 0.000 0.000
Se 0.000 2.520 0.000
Se 2.520 0.000 0.000
S 2.520 2.520 1.880
N 0.000 0.000 1.880
CELL_PARAMETERS angstrom
5.040 0.000 0.000
0.000 5.040 0.000
0.000 0.000 3.760
! E above lowest polymorph in meV per atom: 0
! SG: P4/mmm, No. 123
! Formation energy without anion corrections in eV/atom: 0.3058

=====

13.
! GGA-PBE MgTi2HgH, relaxed; values from VASP
&SYSTEM
  ibrav = 0, nat = 5, ntyp = 4
/
ATOMIC_SPECIES
Mg 24.30 Mg.upf
Ti 47.87 Ti.upf
Hg 200.59 Hg.upf
H 1.01 H.upf
ATOMIC_POSITIONS angstrom
Mg 0.000 0.000 0.000
Ti 0.000 2.021 2.261
Ti 2.021 0.000 2.261
Hg 2.021 2.021 0.000
H 0.000 0.000 2.261
CELL_PARAMETERS angstrom
4.043 0.000 0.000
0.000 4.043 0.000
0.000 0.000 4.522
! E above lowest polymorph in meV per atom: 0
! SG: P4/mmm, No. 123

=====

14.
! GGA-PBE Ce6InSi2, relaxed; values from VASP
&SYSTEM
  ibrav = 0, nat = 18, ntyp = 3
/
ATOMIC_SPECIES
Ce 140.12 Ce.upf
In 114.82 In.upf
Si 28.09 Si.upf
ATOMIC_POSITIONS angstrom
Ce 4.721 2.721 -2.630
Ce 2.689 0.000 1.946
Ce 6.753 0.000 1.946
Ce 2.086 2.896 0.000
Ce 2.635 -1.938 5.216
Ce 0.000 2.112 2.587
Ce 4.721 2.721 2.630
Ce 2.086 6.771 0.000
Ce 2.635 1.938 5.216
Ce -2.032 4.833 3.270
Ce 2.032 4.833 3.270
Ce 0.000 2.112 7.846
In 0.000 0.000 0.000
In 0.000 0.000 5.216
Si 4.721 1.226 0.000
Si 4.721 0.000 4.032
Si 0.000 4.833 1.184
Si 0.000 3.608 5.216
CELL_PARAMETERS angstrom
-4.721 4.833 5.216
4.721 -4.833 5.216
4.721 4.833 -5.216
! SG: Immm, No. 71
! Formation energy without anion corrections in eV/atom: -0.3423

=====

15.
! GGA-PBE VSbTeI2, relaxed; values from VASP
&SYSTEM
  ibrav = 0, nat = 5, ntyp = 4
/
ATOMIC_SPECIES
V 50.94 V.upf
Sb 121.76 Sb.upf
Te 127.60 Te.upf
I 126.90 I.upf
ATOMIC_POSITIONS angstrom
V 0.000 0.000 0.000
Sb 2.690 2.690 2.741
Te 0.000 0.000 2.741
I 0.000 2.690 0.000
I 2.690 0.000 0.000
CELL_PARAMETERS angstrom
5.380 0.000 0.000
0.000 5.380 0.000
0.000 0.000 5.482
! E above lowest polymorph in meV per atom: 0
! SG: P4/mmm, No. 123
! Formation energy without anion corrections in eV/atom: 0.2605

=====

16.
! GGA-PBE ZrTi2Pd3, relaxed; values from VASP
&SYSTEM
  ibrav = 0, nat = 6, ntyp = 3
/
ATOMIC_SPECIES
Zr 91.22 Zr.upf
Ti 47.87 Ti.upf
Pd 106.42 Pd.upf
ATOMIC_POSITIONS angstrom
Zr 0.000 0.000 0.000
Ti 0.000 0.000 3.918
Ti 0.000 0.000 7.645
Pd 1.467 1.467 2.120
Pd 1.467 1.467 5.782
Pd 1.467 1.467 9.443
CELL_PARAMETERS angstrom
2.935 0.000 0.000
0.000 2.935 0.000
0.000 0.000 11.563
! E in eV per atom: -7.18
! SG: P4/mmm, No. 123

=====

17.
! GGA-PBE RbErCd2Cl8, relaxed; values from VASP
&SYSTEM
  ibrav = 0, nat = 12, ntyp = 4
/
ATOMIC_SPECIES
Rb 85.47 Rb.upf
Er 167.26 Er.upf
Cd 112.41 Cd.upf
Cl 35.45 Cl.upf
ATOMIC_POSITIONS angstrom
Rb 0.000 0.000 0.000
Er 0.874 0.788 4.449
Cd 3.939 3.220 1.970
Cd 5.693 4.825 6.928
Cl 3.369 5.910 6.386
Cl 3.122 5.643 2.593
Cl 2.969 2.338 4.190
Cl 2.709 2.037 0.088
Cl 6.923 6.008 8.810
Cl 6.664 5.708 4.707
Cl 6.511 2.403 6.305
Cl 6.264 2.135 2.511
CELL_PARAMETERS angstrom
6.585 0.000 0.000
1.300 6.469 0.000
1.748 1.577 8.898
! SG: P-1, No. 2
! Formation energy without anion corrections in eV/atom: -1.6024

=====

18.
! GGA-PBE AcLa2Pt, relaxed; values from VASP
&SYSTEM
  ibrav = 0, nat = 4, ntyp = 3
/
ATOMIC_SPECIES
Ac 227.00 Ac.upf
La 138.91 La.upf
Pt 195.08 Pt.upf
ATOMIC_POSITIONS angstrom
Ac 0.000 0.000 0.000
La 0.000 0.000 16.274
La 0.000 0.000 22.646
Pt 0.000 0.000 4.836
CELL_PARAMETERS angstrom
2.084 1.203 9.742
-2.084 1.203 9.742
0.000 -2.406 9.742
! E above lowest polymorph in meV per atom: 76
! SG: R3m, No. 160

=====

19.
! GGA-PBE Pr3ThNi, relaxed; values from VASP
&SYSTEM
  ibrav = 0, nat = 5, ntyp = 3
/
ATOMIC_SPECIES
Pr 140.91 Pr.upf
Th 232.04 Th.upf
Ni 58.69 Ni.upf
ATOMIC_POSITIONS angstrom
Pr 0.000 0.000 2.743
Pr 0.000 2.743 0.000
Pr 2.743 0.000 0.000
Th 2.743 2.743 2.743
Ni 0.000 0.000 0.000
CELL_PARAMETERS angstrom
5.486 0.000 0.000
0.000 5.486 0.000
0.000 0.000 5.486
! E in eV per atom: -5.37
! SG: Pm-3m, No. 221

=====

20.
! GGA-PBE KCo2Br, relaxed; values from VASP
&SYSTEM
  ibrav = 0, nat = 4, ntyp = 3
/
ATOMIC_SPECIES
K 39.10 K.upf
Co 58.93 Co.upf
Br 79.90 Br.upf
ATOMIC_POSITIONS angstrom
K 0.000 0.000 0.000
Co 0.000 0.000 4.907
Co 1.689 1.689 4.431
Br 1.689 1.689 1.996
CELL_PARAMETERS angstrom
3.377 0.000 0.000
0.000 3.377 0.000
0.000 0.000 7.980
! E above lowest polymorph in meV per atom: 14
! SG: P4mm, No. 99
! Formation energy without anion corrections in eV/atom: 0.2341